Computed, not measured: a geometry-optimized CeDyTm structure at the PBE-GGA level of DFT.

Properties
ΔE to the lowest computed polymorph = 0 meV/atom
Spin magnetization = 0.64 μB/cell
E = -4.94 eV/atom

CIF file:
```
data_CeDyTm
_space_group_name_H-M_alt 'P 3 m 1'
_space_group_IT_number 156
_cell_length_a 3.4924
_cell_length_b 3.4924
_cell_length_c 8.5698
_cell_angle_alpha 90.00
_cell_angle_beta 90.00
_cell_angle_gamma 120.00
loop_
_space_group_symop_operation_xyz
'x,y,z'
'-y,x-y,z'
'-x+y,-x,z'
'-y,-x,z'
'-x+y,y,z'
'x,x-y,z'
loop_
_atom_site_label
_atom_site_type_symbol
_atom_site_fract_x
_atom_site_fract_y
_atom_site_fract_z
Ce1 Ce 0.0000 0.0000 0.0000
Dy1 Dy 0.3333 0.6667 0.6671
Tm1 Tm 0.6667 0.3333 0.3291
```

=====

Computed, not measured: a geometry-optimized GdTmGa structure at the PBE-GGA level of DFT.

Properties
ΔE to the lowest computed polymorph = 100 meV/atom
Spin magnetization = 7.29 μB/cell
E = -7.47 eV/atom

CIF file:
```
data_GdTmGa
_space_group_name_H-M_alt 'P 3 m 1'
_space_group_IT_number 156
_cell_length_a 4.9552
_cell_length_b 4.9552
_cell_length_c 3.6601
_cell_angle_alpha 90.00
_cell_angle_beta 90.00
_cell_angle_gamma 120.00
loop_
_space_group_symop_operation_xyz
'x,y,z'
'-y,x-y,z'
'-x+y,-x,z'
'-y,-x,z'
'-x+y,y,z'
'x,x-y,z'
loop_
_atom_site_label
_atom_site_type_symbol
_atom_site_fract_x
_atom_site_fract_y
_atom_site_fract_z
Gd1 Gd 0.0000 0.0000 0.0000
Tm1 Tm 0.6667 0.3333 0.4641
Ga1 Ga 0.3333 0.6667 0.6589
```

=====

Computed, not measured: a geometry-optimized LiSmZnPt3 structure at the PBE-GGA level of DFT.

Properties
Spin magnetization = 0.00 μB/cell
E = -4.97 eV/atom

CIF file:
```
data_LiSmZnPt3
_space_group_name_H-M_alt 'C m c m'
_space_group_IT_number 63
_space_group_name_Hall '-C 2c 2'
_cell_length_a 5.758
_cell_length_b 12.832
_cell_length_c 5.758
_cell_angle_alpha 90.00
_cell_angle_beta 90.00
_cell_angle_gamma 90.00
loop_
_atom_site_label
_atom_site_type_symbol
_atom_site_fract_x
_atom_site_fract_y
_atom_site_fract_z
Li1 Li 0.000 0.115 0.250
Sm1 Sm 0.000 0.331 0.250
Zn1 Zn 0.000 0.372 0.750
Pt1 Pt 0.000 0.175 0.750
Pt2 Pt 0.244 0.000 0.000
```

=====

Computed, not measured: a geometry-optimized ThZn2Co2 structure at the PBE-GGA level of DFT.

Properties
ΔE to the lowest computed polymorph = 0 meV/atom
Spin magnetization = 0.00 μB/cell
E = -5.04 eV/atom

CIF file:
```
data_ThZn2Co2
_space_group_name_H-M_alt 'P -1'
_space_group_IT_number 2
_cell_length_a 3.765
_cell_length_b 4.878
_cell_length_c 5.183
_cell_angle_alpha 105.17
_cell_angle_beta 111.19
_cell_angle_gamma 90.05
loop_
_space_group_symop_operation_xyz
'x,y,z'
'-x,-y,-z'
loop_
_atom_site_label
_atom_site_type_symbol
_atom_site_fract_x
_atom_site_fract_y
_atom_site_fract_z
Th1 Th 0.000 0.000 0.000
Zn1 Zn 0.345 0.426 0.690
Co1 Co 0.291 0.893 0.582
```